Compound: CePr3Dy2As6
Source: Alexandria
Functional: PBE
Structure: relaxed

Lattice parameters (Å, degrees): 7.318 7.318 7.332 99.58 99.58 119.99
Last column: magnetic moment on the atom in μB.
Atoms (fractional coordinates):
Dy (0.333, 0.667, 0.000)  0.00
Dy (0.667, 0.333, 0.000)  0.00
Pr (0.834, 0.166, 0.500)  0.00
Pr (0.500, 0.500, 0.500)  0.00
Pr (0.166, 0.834, 0.500)  0.00
As (0.414, 0.080, 0.239)  -0.01
As (0.920, 0.586, 0.761)  -0.01
As (0.586, 0.920, 0.761)  -0.01
As (0.746, 0.746, 0.238)  -0.01
As (0.254, 0.254, 0.762)  -0.01
As (0.080, 0.414, 0.239)  -0.01
Ce (0.000, 0.000, 0.000)  0.43

DOS at the Fermi energy: 0.483 states/eV/atom
crystal system: monoclinic
electronic total energy: -6.282 eV/atom